TmThHgOs | PBE | optimized geometry

Output
Energy above the lowest structure with this stoichiometry in meV/atom: 142
DFT total energy in eV/cell: -97.2
E_form in eV per atom: -0.2190

Unit cell a=7.2196 b=7.2196 c=7.2196 alpha=90.00 beta=90.00 gamma=90.00
With the nearest neighbours (Å) after each atom.
Space group F-43m (No. 216)
Inequivalent atoms, fractional coordinates:
Tm 0.0000 0.0000 0.0000 (multiplicity 4)  4 Hg 3.13, 4 Os 3.13
Th 0.0000 0.0000 0.5000 (multiplicity 4)  4 Os 3.13, 4 Hg 3.13
Hg 0.2500 0.2500 0.7500 (multiplicity 4)  4 Th 3.13, 4 Tm 3.13
Os 0.2500 0.2500 0.2500 (multiplicity 4)  4 Tm 3.13, 4 Th 3.13

=====

K2In4AgSn3 | PBE | optimized geometry

Output
DFT total energy in eV/cell: -29.2
E_form in eV per atom: -0.1233

Unit cell a=5.0329 b=5.0329 c=12.2590 alpha=90.00 beta=90.00 gamma=90.00
With the nearest neighbours (Å) after each atom.
Space group P-4m2 (No. 115)
Inequivalent atoms, fractional coordinates:
K 0.0000 0.5000 0.2448 (multiplicity 2)  8 In 3.85-4.01, 6 Sn 3.85-3.92, 2 Ag 3.92
In 0.0000 0.0000 0.5000 (multiplicity 1)  4 Sn 3.02
In 0.0000 0.5000 0.8742 (multiplicity 2)  3 Sn 2.92-2.95, 2 Ag 2.95
In 0.5000 0.5000 0.5000 (multiplicity 1)  4 Sn 3.02
Ag 0.5000 0.5000 0.0000 (multiplicity 1)  4 In 2.95
Sn 0.0000 0.0000 0.0000 (multiplicity 1)  4 In 2.95
Sn 0.0000 0.5000 0.6360 (multiplicity 2)  5 In 2.92-3.02

=====

LaBeRh2 | PBE | optimized geometry

Output
DFT total energy in eV/cell: -24.3
E_form in eV per atom: -0.2309

Unit cell a=3.3327 b=3.3327 c=6.2443 alpha=90.00 beta=90.00 gamma=90.00
With the nearest neighbours (Å) after each atom.
Space group P4mm (No. 99)
Inequivalent atoms, fractional coordinates:
La 0.0000 0.0000 0.0000 (multiplicity 1)  5 Rh 2.74-2.86
Be 0.5000 0.5000 0.6230 (multiplicity 1)  5 Rh 2.26-2.39
Rh 0.0000 0.0000 0.5608 (multiplicity 1)  4 Be 2.39
Rh 0.5000 0.5000 0.2604 (multiplicity 1)  1 Be 2.26

=====

TmTcGe2Rh | PBE | optimized geometry

Output
DFT total energy in eV/cell: -69.3
E_form in eV per atom: -0.6469

Unit cell a=4.2717 b=4.2717 c=9.8477 alpha=90.00 beta=90.00 gamma=90.00
With the nearest neighbours (Å) after each atom.
Space group I-4m2 (No. 119)
Inequivalent atoms, fractional coordinates:
Tm 0.0000 0.0000 0.0000 (multiplicity 2)  4 Tc 3.26, 4 Rh 3.26, 8 Ge 3.27
Tc 0.0000 0.5000 0.2500 (multiplicity 2)  4 Ge 2.45
Ge 0.0000 0.0000 0.3722 (multiplicity 4)  2 Tc 2.45, 2 Rh 2.45, 1 Ge 2.52
Rh 0.0000 0.5000 0.7500 (multiplicity 2)  4 Ge 2.45

=====

Tl2TcOs | PBE | optimized geometry

Output
Energy above the lowest structure with this stoichiometry in meV/atom: 560
DFT total energy in eV/cell: -44.7
E_form in eV per atom: 1.0002

Unit cell a=9.1145 b=3.0962 c=5.3676 alpha=90.00 beta=101.32 gamma=90.00
With the nearest neighbours (Å) after each atom.
Space group C2/m (No. 12)
Inequivalent atoms, fractional coordinates:
Tl 0.2495 0.0000 0.2489 (multiplicity 4)  3 Os 2.86, 3 Tc 2.86-2.87, 6 Tl 3.09-3.11
Tc 0.0000 0.0000 0.5000 (multiplicity 2)  6 Tl 2.86-2.87, 2 Tc 3.10, 4 Os 3.10
Os 0.0000 0.5000 0.0000 (multiplicity 2)  6 Tl 2.86, 2 Os 3.10, 4 Tc 3.10

=====

EuThAgPb | PBE | optimized geometry

Output
DFT total energy in eV/cell: -100.9
E_form in eV per atom: -0.2403

Unit cell a=7.7320 b=7.7320 c=7.7320 alpha=90.00 beta=90.00 gamma=90.00
With the nearest neighbours (Å) after each atom.
Space group F-43m (No. 216)
Inequivalent atoms, fractional coordinates:
Eu 0.0000 0.0000 0.0000 (multiplicity 4)  4 Pb 3.35, 4 Ag 3.35
Th 0.0000 0.0000 0.5000 (multiplicity 4)  4 Pb 3.35, 4 Ag 3.35
Ag 0.2500 0.2500 0.2500 (multiplicity 4)  4 Th 3.35, 4 Eu 3.35
Pb 0.2500 0.2500 0.7500 (multiplicity 4)  4 Th 3.35, 4 Eu 3.35

=====

Which of these has the highest E_form?
Tl2TcOs